# ErGa2Co5

A geometry-optimized ErGa2Co5 structure (PBE, Alexandria).

Cell: 3.611 6.049 6.049 Å, 66.87 72.63 72.63°
Each line ends with the local moment (μB).
Fractional positions:
Er  0.000  0.000  0.000  -0.15
Ga  0.748  0.752  0.752  -0.08
Ga  0.252  0.248  0.248  -0.08
Co  0.000  0.500  0.500  1.23
Co  0.626  0.557  0.191  1.13
Co  0.374  0.443  0.809  1.13
Co  0.374  0.809  0.443  1.13
Co  0.626  0.191  0.557  1.13

Results
Total magnetic moment in μB/f.u.: 5.3


# ErGa2Co3

A geometry-optimized ErGa2Co3 structure (PBE, Alexandria).

Cell: 8.950 8.950 3.812 Å, 90.00 90.00 120.00°
Each line ends with the local moment (μB).
Fractional positions:
Er  0.000  0.000  0.000  -0.06
Er  0.667  0.333  0.500  -0.08
Er  0.333  0.667  0.500  -0.08
Ga  0.682  0.682  0.500  -0.02
Ga  0.318  0.000  0.500  -0.02
Ga  0.000  0.318  0.500  -0.02
Ga  0.318  0.318  0.500  -0.02
Ga  0.682  0.000  0.500  -0.02
Ga  0.000  0.682  0.500  -0.02
Co  0.500  0.500  0.000  0.64
Co  0.500  0.000  0.000  0.64
Co  0.000  0.500  0.000  0.64
Co  0.818  0.182  0.000  0.09
Co  0.818  0.635  0.000  0.09
Co  0.365  0.182  0.000  0.09
Co  0.182  0.818  0.000  0.09
Co  0.635  0.818  0.000  0.09
Co  0.182  0.365  0.000  0.09

Results
Total magnetic moment in μB/f.u.: 0.7


# ErGa2Co2

A geometry-optimized ErGa2Co2 structure (PBE, Alexandria).

Cell: 4.033 4.033 5.691 Å, 110.79 110.75 90.00°
Fractional positions:
Er  0.000  0.000  0.000
Ga  0.629  0.630  0.259
Ga  0.371  0.370  0.741
Co  0.750  0.250  0.500
Co  0.250  0.750  0.500

Results
Total magnetic moment in μB/f.u.: 0.0


# Er3GaCo

A geometry-optimized Er3GaCo structure (PBE, Alexandria).

Cell: 5.801 5.801 8.403 Å, 68.65 68.65 64.60°
Fractional positions:
Er  0.312  0.312  0.862
Er  0.688  0.688  0.138
Er  0.012  0.012  0.773
Er  0.988  0.988  0.227
Er  0.700  0.700  0.669
Er  0.300  0.300  0.331
Ga  0.708  0.292  0.500
Ga  0.292  0.708  0.500
Co  0.312  0.688  0.000
Co  0.688  0.312  0.000

Results
Total magnetic moment in μB/f.u.: 0.0
Distance to the lowest polymorph of the same formula in meV per atom: 0


| no. | N(E_F) (states/eV per cell) | energy of formation from the pure elements (eV/atom) |
| --- | --- | --- |
| 1 | 9.4 | -0.13 |
| 2 | 14.4 | -0.38 |
| 3 | 2.8 | -0.41 |
| 4 | 6.8 | -0.34 |